Record 1
Computed, not measured: a geometry-optimized La2ReSe structure at the GGA-PBEsol level of DFT.

Formation energy (no corrections) ... -31.9 kJ/mol of atoms
M_tot ... 0.0 μB/f.u.
V ... 212 Å³/cell
DFT total energy ... -0.53649 Ry/atom

Unit cell a=6.758 b=3.880 c=8.363 alpha=90.00 beta=105.32 gamma=90.00
Atoms (fractional coordinates):
1 La 0.250 0.000 0.245
2 La 0.250 0.500 0.755
3 La 0.750 0.000 0.755
4 La 0.750 0.500 0.245
5 Re 0.000 0.500 0.000
6 Re 0.500 0.000 0.000
7 Se 0.000 0.000 0.500
8 Se 0.500 0.500 0.500

Record 2
Computed, not measured: a geometry-optimized Ag2Hg structure at the GGA-PBEsol level of DFT.

M_tot ... 0.0 μB/f.u.
Energy above the lowest structure with this stoichiometry ... 0.009 eV per atom
ΔE_f ... 0.0113 eV per atom
V ... 216 Å³/cell
DFT total energy ... -0.17530 Ry/atom

Unit cell a=10.782 b=2.977 c=7.018 alpha=90.00 beta=106.86 gamma=90.00
Atoms (fractional coordinates):
1 Ag 0.031 0.000 0.296
2 Ag 0.137 0.500 0.029
3 Ag 0.363 0.000 0.971
4 Ag 0.469 0.500 0.704
5 Ag 0.531 0.500 0.296
6 Ag 0.637 0.000 0.029
7 Ag 0.863 0.500 0.971
8 Ag 0.969 0.000 0.704
9 Hg 0.188 0.500 0.645
10 Hg 0.312 0.000 0.355
11 Hg 0.688 0.000 0.645
12 Hg 0.812 0.500 0.355